# Zn2CrHgO

Zn2CrHgO after structural relaxation (PBE with a Hubbard U, Alexandria).

Cell: 5.1177 5.1177 5.4022 Å, 90.00 90.00 90.00°
Fractional positions:
Zn  0.0000  0.5000  0.0000
Zn  0.5000  0.0000  0.0000
Cr  0.0000  0.0000  0.0000
Hg  0.0000  0.0000  0.5000
O  0.5000  0.5000  0.5000

Results
SG: P4/mmm, No. 123
Total DFT energy (no corrections) in eV/f.u.: -10.96
Magnetic moment in μB/f.u.: 3.820